1.
# LaHoTlPt

An optimized crystal structure of LaHoTlPt (PBE, Alexandria via LeMat-Bulk).

Computed properties:
- N(E_F): 4.63 states/eV/f.u.
- Energy: -5.118 eV per atom
- Mass density: 11.2 g/cm3
- E_form: -61.72 kJ per mole of atoms
- Magnetic moment: 0.000 μB per cell

a b c (Å): 7.4664 7.4664 7.4664
angles (deg): 90.00 90.00 90.00
Space group F-43m (No. 216)
Unique sites:
La  0.0000  0.0000  0.0000 [4 per cell]
Ho  0.0000  0.0000  0.5000 [4 per cell]
Tl  0.2500  0.2500  0.2500 [4 per cell]
Pt  0.2500  0.2500  0.7500 [4 per cell]



2.
# La2HoZn3Pt4

An optimized crystal structure of La2HoZn3Pt4 (PBE, Alexandria via LeMat-Bulk).

Computed properties:
- N(E_F): 4.64 states/eV/f.u.
- Energy: -5.106 eV per atom
- Mass density: 11.3 g/cm3
- E_form: -83.43 kJ per mole of atoms
- Magnetic moment: 0.000 μB per cell

a b c (Å): 4.2273 4.2273 11.7189
angles (deg): 90.00 90.00 90.00
Space group P-4m2 (No. 115)
Unique sites:
La  0.0000  0.5000  0.2260 [2 per cell]
Ho  0.0000  0.0000  0.5000 [1 per cell]
Zn  0.0000  0.5000  0.8759 [2 per cell]
Zn  0.5000  0.5000  0.5000 [1 per cell]
Pt  0.0000  0.0000  0.0000 [1 per cell]
Pt  0.0000  0.5000  0.6577 [2 per cell]
Pt  0.5000  0.5000  0.0000 [1 per cell]



3.
# LaHoZnPt

An optimized crystal structure of LaHoZnPt (PBE, Alexandria via LeMat-Bulk).

Computed properties:
- N(E_F): 3.23 states/eV/f.u.
- Energy: -4.919 eV per atom
- Mass density: 9.9 g/cm3
- E_form: -68.86 kJ per mole of atoms
- Magnetic moment: 0.000 μB per cell

a b c (Å): 7.2273 7.2273 7.2273
angles (deg): 90.00 90.00 90.00
Space group F-43m (No. 216)
Unique sites:
La  0.0000  0.0000  0.0000 [4 per cell]
Ho  0.0000  0.0000  0.5000 [4 per cell]
Zn  0.2500  0.2500  0.2500 [4 per cell]
Pt  0.2500  0.2500  0.7500 [4 per cell]



4.
# LaHo2Pu

An optimized crystal structure of LaHo2Pu (PBE, Alexandria via LeMat-Bulk).

Computed properties:
- N(E_F): 14.68 states/eV/f.u.
- Energy: -6.902 eV per atom
- Mass density: 9.3 g/cm3
- E_form: 19.49 kJ per mole of atoms
- Magnetic moment: 6.541 μB per cell

a b c (Å): 5.8254 5.8254 3.7474
angles (deg): 90.00 90.00 90.00
Space group P4/mmm (No. 123)
Unique sites:
La  0.0000  0.0000  0.0000 [1 per cell]
Ho  0.0000  0.5000  0.5000 [2 per cell]
Pu  0.5000  0.5000  0.0000 [1 per cell]



5.
# LaHo14Pu

An optimized crystal structure of LaHo14Pu (PBE, Alexandria via LeMat-Bulk).

Computed properties:
- N(E_F): 27.11 states/eV/f.u.
- Energy: -5.165 eV per atom
- Mass density: 9.0 g/cm3
- E_form: 4.25 kJ per mole of atoms
- Magnetic moment: 6.322 μB per cell

a b c (Å): 7.0690 7.0690 9.9597
angles (deg): 90.00 90.00 90.00
Space group P4/mmm (No. 123)
Unique sites:
La  0.0000  0.0000  0.0000 [1 per cell]
Ho  0.0000  0.0000  0.5000 [1 per cell]
Ho  0.0000  0.5000  0.0000 [2 per cell]
Ho  0.0000  0.5000  0.5000 [2 per cell]
Ho  0.2529  0.2529  0.2508 [8 per cell]
Ho  0.5000  0.5000  0.5000 [1 per cell]
Pu  0.5000  0.5000  0.0000 [1 per cell]



6.
# LaHoPu

An optimized crystal structure of LaHoPu (PBE, Alexandria via LeMat-Bulk).

Computed properties:
- N(E_F): 8.43 states/eV/f.u.
- Energy: -7.806 eV per atom
- Mass density: 9.5 g/cm3
- E_form: 13.46 kJ per mole of atoms
- Magnetic moment: 6.259 μB per cell

a b c (Å): 3.5727 3.5727 8.6204
angles (deg): 90.00 90.00 120.00
Space group P3m1 (No. 156)
Unique sites:
La  0.0000  0.0000  0.0000 [1 per cell]
Ho  0.3333  0.6667  0.6531 [1 per cell]
Pu  0.6667  0.3333  0.3320 [1 per cell]



7.
# La6Ho3Pu

An optimized crystal structure of La6Ho3Pu (PBE, Alexandria via LeMat-Bulk).

Computed properties:
- N(E_F): 17.54 states/eV/f.u.
- Energy: -5.572 eV per atom
- Mass density: 7.6 g/cm3
- E_form: 18.44 kJ per mole of atoms
- Magnetic moment: 12.457 μB per cell

a b c (Å): 6.2307 9.5214 13.1566
angles (deg): 90.00 118.16 90.00
Space group P2_1/c (No. 14)
Unique sites:
La  0.0488  0.1588  0.0692 [4 per cell]
La  0.3994  0.0086  0.7620 [4 per cell]
La  0.4216  0.1702  0.4335 [4 per cell]
Ho  0.0000  0.0000  0.5000 [2 per cell]
Ho  0.1282  0.6625  0.7507 [4 per cell]
Pu  0.5000  0.0000  0.0000 [2 per cell]



8.
# LaHo2Pu

An optimized crystal structure of LaHo2Pu (PBE, Alexandria via LeMat-Bulk).

Computed properties:
- N(E_F): 10.88 states/eV/f.u.
- Energy: -6.995 eV per atom
- Mass density: 9.4 g/cm3
- E_form: 10.53 kJ per mole of atoms
- Magnetic moment: 6.392 μB per cell

a b c (Å): 3.5415 3.5415 10.0517
angles (deg): 90.00 90.00 90.00
Space group P4/mmm (No. 123)
Unique sites:
La  0.0000  0.0000  0.0000 [1 per cell]
Ho  0.5000  0.5000  0.2645 [2 per cell]
Pu  0.0000  0.0000  0.5000 [1 per cell]



9.
# La12Ho3Pu

An optimized crystal structure of La12Ho3Pu (PBE, Alexandria via LeMat-Bulk).

Computed properties:
- N(E_F): 34.17 states/eV/f.u.
- Energy: -5.263 eV per atom
- Mass density: 7.3 g/cm3
- E_form: 18.03 kJ per mole of atoms
- Magnetic moment: 0.037 μB per cell

a b c (Å): 5.1727 5.1727 20.5799
angles (deg): 90.00 90.00 90.00
Space group P4/mmm (No. 123)
Unique sites:
La  0.0000  0.0000  0.0000 [1 per cell]
La  0.0000  0.0000  0.2474 [2 per cell]
La  0.0000  0.0000  0.5000 [1 per cell]
La  0.0000  0.5000  0.1159 [4 per cell]
La  0.0000  0.5000  0.3731 [4 per cell]
Ho  0.5000  0.5000  0.2474 [2 per cell]
Ho  0.5000  0.5000  0.5000 [1 per cell]
Pu  0.5000  0.5000  0.0000 [1 per cell]



10.
# LaHoPu

An optimized crystal structure of LaHoPu (PBE, Alexandria via LeMat-Bulk).

Computed properties:
- N(E_F): 7.14 states/eV/f.u.
- Energy: -7.821 eV per atom
- Mass density: 9.5 g/cm3
- E_form: 12.03 kJ per mole of atoms
- Magnetic moment: 12.189 μB per cell

a b c (Å): 3.5836 3.5836 14.8973
angles (deg): 90.00 90.00 90.00
Space group I4mm (No. 107)
Unique sites:
La  0.0000  0.0000  0.0000 [2 per cell]
Ho  0.0000  0.0000  0.3255 [2 per cell]
Pu  0.0000  0.0000  0.6666 [2 per cell]



11.
# LaHo2Pu

An optimized crystal structure of LaHo2Pu (PBE, Alexandria via LeMat-Bulk).

Computed properties:
- N(E_F): 13.21 states/eV/f.u.
- Energy: -6.885 eV per atom
- Mass density: 9.2 g/cm3
- E_form: 21.09 kJ per mole of atoms
- Magnetic moment: 25.037 μB per cell

a b c (Å): 8.0058 8.0058 8.0058
angles (deg): 90.00 90.00 90.00
Space group Fm-3m (No. 225)
Unique sites:
La  0.0000  0.0000  0.0000 [4 per cell]
Ho  0.2500  0.2500  0.2500 [8 per cell]
Pu  0.0000  0.0000  0.5000 [4 per cell]



12.
# LaHo2Pu

An optimized crystal structure of LaHo2Pu (PBE, Alexandria via LeMat-Bulk).

Computed properties:
- N(E_F): 11.28 states/eV/f.u.
- Energy: -6.987 eV per atom
- Mass density: 9.4 g/cm3
- E_form: 11.26 kJ per mole of atoms
- Magnetic moment: 18.301 μB per cell

a b c (Å): 3.5459 3.5459 34.7364
angles (deg): 90.00 90.00 120.00
Space group R3m (No. 160, hexagonal axes)
Unique sites:
La  0.0000  0.0000  0.0000 [3 per cell]
Ho  0.0000  0.0000  0.5789 [3 per cell]
Ho  0.0000  0.0000  0.7530 [3 per cell]
Pu  0.0000  0.0000  0.1654 [3 per cell]



13.
# La4Ho3PuS8

An optimized crystal structure of La4Ho3PuS8 (PBE, Alexandria via LeMat-Bulk).

Computed properties:
- N(E_F): 14.14 states/eV/f.u.
- Energy: -7.102 eV per atom
- Raw formation energy: -32.8 eV/f.u.
- Mass density: 7.0 g/cm3
- Magnetic moment: 17.018 μB per cell

a b c (Å): 8.0170 8.0170 19.9454
angles (deg): 90.00 90.00 120.00
Space group R-3m (No. 166, hexagonal axes)
Unique sites:
La  0.0000  0.0000  0.0000 [3 per cell]
La  0.0000  0.5000  0.0000 [9 per cell]
Ho  0.0000  0.5000  0.5000 [9 per cell]
Pu  0.0000  0.0000  0.5000 [3 per cell]
S  0.0000  0.0000  0.2426 [6 per cell]
S  0.0032  0.5016  0.7566 [18 per cell]



14.
# La4HoPu3S8

An optimized crystal structure of La4HoPu3S8 (PBE, Alexandria via LeMat-Bulk).

Computed properties:
- N(E_F): 25.10 states/eV/f.u.
- Energy: -8.265 eV per atom
- Raw formation energy: -31.9 eV/f.u.
- Mass density: 7.6 g/cm3
- Magnetic moment: 51.086 μB per cell

a b c (Å): 8.0618 8.0618 20.0045
angles (deg): 90.00 90.00 120.00
Space group R-3m (No. 166, hexagonal axes)
Unique sites:
La  0.0000  0.0000  0.0000 [3 per cell]
La  0.0000  0.5000  0.0000 [9 per cell]
Ho  0.0000  0.0000  0.5000 [3 per cell]
Pu  0.0000  0.5000  0.5000 [9 per cell]
S  0.0000  0.0000  0.2446 [6 per cell]
S  0.0029  0.5015  0.2442 [18 per cell]



15.
# La2HoPuS4

An optimized crystal structure of La2HoPuS4 (PBE, Alexandria via LeMat-Bulk).

Computed properties:
- N(E_F): 9.08 states/eV/f.u.
- Energy: -7.685 eV per atom
- Raw formation energy: -16.2 eV/f.u.
- Mass density: 7.3 g/cm3
- Magnetic moment: 5.720 μB per cell

a b c (Å): 6.9756 4.0121 7.0478
angles (deg): 90.00 109.10 90.00
Space group P2/m (No. 10)
Unique sites:
La  0.0000  0.0000  0.0000 [1 per cell]
La  0.5000  0.5000  0.0000 [1 per cell]
Ho  0.0000  0.5000  0.5000 [1 per cell]
Pu  0.5000  0.0000  0.5000 [1 per cell]
S  0.2401  0.0000  0.7307 [2 per cell]
S  0.2531  0.5000  0.2676 [2 per cell]



16.
# LaHo2PuS4

An optimized crystal structure of LaHo2PuS4 (PBE, Alexandria via LeMat-Bulk).

Computed properties:
- N(E_F): 8.61 states/eV/f.u.
- Energy: -7.599 eV per atom
- Raw formation energy: -15.9 eV/f.u.
- Mass density: 7.9 g/cm3
- Magnetic moment: 5.864 μB per cell

a b c (Å): 6.8747 3.9463 6.9238
angles (deg): 90.00 109.09 90.00
Space group P2/m (No. 10)
Unique sites:
La  0.0000  0.0000  0.0000 [1 per cell]
Ho  0.0000  0.5000  0.5000 [1 per cell]
Ho  0.5000  0.0000  0.5000 [1 per cell]
Pu  0.5000  0.5000  0.0000 [1 per cell]
S  0.2519  0.0000  0.7384 [2 per cell]
S  0.2614  0.5000  0.2668 [2 per cell]



17.
# LaHoPu2S4

An optimized crystal structure of LaHoPu2S4 (PBE, Alexandria via LeMat-Bulk).

Computed properties:
- N(E_F): 15.25 states/eV/f.u.
- Energy: -8.754 eV per atom
- Raw formation energy: -15.4 eV/f.u.
- Mass density: 8.5 g/cm3
- Magnetic moment: 11.424 μB per cell

a b c (Å): 6.9176 3.9791 6.9271
angles (deg): 90.00 109.26 90.00
Space group P2/m (No. 10)
Unique sites:
La  0.0000  0.0000  0.0000 [1 per cell]
Ho  0.5000  0.5000  0.0000 [1 per cell]
Pu  0.0000  0.5000  0.5000 [1 per cell]
Pu  0.5000  0.0000  0.5000 [1 per cell]
S  0.2597  0.0000  0.7496 [2 per cell]
S  0.2628  0.5000  0.2582 [2 per cell]



18.
# LaHoPu2Sb4

An optimized crystal structure of LaHoPu2Sb4 (PBE, Alexandria via LeMat-Bulk).

Computed properties:
- N(E_F): 29.10 states/eV/f.u.
- Energy: -7.711 eV per atom
- Raw formation energy: -7.0 eV/f.u.
- Mass density: 8.4 g/cm3
- Magnetic moment: 10.044 μB per cell

a b c (Å): 7.7138 4.4713 7.7382
angles (deg): 90.00 109.52 90.00
Space group P2/m (No. 10)
Unique sites:
La  0.0000  0.0000  0.0000 [1 per cell]
Ho  0.0000  0.5000  0.5000 [1 per cell]
Pu  0.5000  0.0000  0.5000 [1 per cell]
Pu  0.5000  0.5000  0.0000 [1 per cell]
Sb  0.2532  0.0000  0.7438 [2 per cell]
Sb  0.2585  0.5000  0.2603 [2 per cell]



19.
# LaHo2PuSe4

An optimized crystal structure of LaHo2PuSe4 (PBE, Alexandria via LeMat-Bulk).

Computed properties:
- N(E_F): 10.20 states/eV/f.u.
- Energy: -7.054 eV per atom
- Raw formation energy: -14.1 eV/f.u.
- Mass density: 8.5 g/cm3
- Magnetic moment: 5.978 μB per cell

a b c (Å): 7.1695 4.1151 7.2216
angles (deg): 90.00 109.07 90.00
Space group P2/m (No. 10)
Unique sites:
La  0.0000  0.0000  0.0000 [1 per cell]
Ho  0.0000  0.5000  0.5000 [1 per cell]
Ho  0.5000  0.0000  0.5000 [1 per cell]
Pu  0.5000  0.5000  0.0000 [1 per cell]
Se  0.2510  0.0000  0.7382 [2 per cell]
Se  0.2604  0.5000  0.2660 [2 per cell]



20.
# LaHo3Pu2Se6

An optimized crystal structure of LaHo3Pu2Se6 (PBE, Alexandria via LeMat-Bulk).

Computed properties:
- N(E_F): 19.48 states/eV/f.u.
- Energy: -7.411 eV per atom
- Raw formation energy: -20.7 eV/f.u.
- Mass density: 8.9 g/cm3
- Magnetic moment: 23.760 μB per cell

a b c (Å): 7.1159 12.3342 7.2140
angles (deg): 90.00 109.25 90.00
Space group C2/m (No. 12)
Unique sites:
La  0.0000  0.0000  0.0000 [2 per cell]
Ho  0.0000  0.1641  0.5000 [4 per cell]
Ho  0.0000  0.5000  0.5000 [2 per cell]
Pu  0.0000  0.3328  0.0000 [4 per cell]
Se  0.2422  0.3299  0.7375 [8 per cell]
Se  0.2461  0.5000  0.2602 [4 per cell]